Here is a relaxed VFe2IrPd crystal from Alexandria. Energies are from GGA-PBE.

Cell lengths 4.454, 4.454, 4.882 Å; angles 90.00, 90.00, 90.00 degrees
Space group P4/mmm (No. 123)
One atom of each set of equivalent atoms:
V 0.000 0.000 0.000
Fe 0.000 0.500 0.500
Ir 0.500 0.500 0.000
Pd 0.500 0.500 0.500

Computed properties:
ΔH_f (0 K) = 1.694 eV per atom


Here is a relaxed BSb2O6 crystal from Alexandria. Energies are from GGA-PBE.

Cell lengths 4.638, 4.638, 8.943 Å; angles 90.00, 90.00, 90.00 degrees
Space group P4_2/mnm (No. 136)
One atom of each set of equivalent atoms:
B 0.000 0.000 0.000
Sb 0.000 0.000 0.333
O 0.179 0.179 0.144
O 0.218 0.218 0.500

Computed properties:
Uncorrected formation energy = -25.12 kcal/mol of atoms


Here is a relaxed Ta2WBr crystal from Alexandria. Energies are from GGA-PBE.

Cell lengths 6.611, 6.611, 6.611 Å; angles 90.00, 90.00, 90.00 degrees
Space group Fm-3m (No. 225)
One atom of each set of equivalent atoms:
Ta 0.250 0.250 0.250
W 0.000 0.000 0.000
Br 0.000 0.000 0.500

Computed properties:
Uncorrected formation energy = 20.54 kcal/mol of atoms


Here is a relaxed Sr2Si4GePt3 crystal from Alexandria. Energies are from GGA-PBE.

Cell lengths 4.350, 4.350, 10.030 Å; angles 90.00, 90.00, 90.00 degrees
Space group P-4m2 (No. 115)
One atom of each set of equivalent atoms:
Sr 0.000 0.500 0.248
Si 0.000 0.000 0.000
Si 0.000 0.500 0.636
Si 0.500 0.500 0.000
Ge 0.000 0.000 0.500
Pt 0.000 0.500 0.882
Pt 0.500 0.500 0.500

Computed properties:
Uncorrected formation energy = -17.79 kcal/mol of atoms